The following is a DFT calculation (PBE-GGA) of a geometry-optimized ZrCoRu2 structure.

Results
Energy above the most stable polymorph in this dataset: 0 meV/atom

Cell: 3.8955 3.8955 3.9075 Å, 90.00 90.00 90.00°
Last column: nearest neighbours and their distance in Å.
Space group P4/mmm (No. 123)
One atom of each set of equivalent atoms:
1 Zr 0.0000 0.0000 0.0000 x1  4 Co 2.75, 8 Ru 2.76
2 Co 0.5000 0.5000 0.0000 x1  4 Zr 2.75, 8 Ru 2.76
3 Ru 0.0000 0.5000 0.5000 x2  4 Ru 2.75, 4 Zr 2.76, 4 Co 2.76


The following is a DFT calculation (PBE-GGA) of a geometry-optimized Tb3Er5Sb8 structure.

Results
E_form (uncorrected): -1.11 eV/atom

Cell: 8.7425 8.7425 21.4112 Å, 90.00 90.00 120.00°
Last column: nearest neighbours and their distance in Å.
Space group R-3m (No. 166, hexagonal axes)
One atom of each set of equivalent atoms:
1 Tb 0.0000 0.5000 0.0000 x9  6 Sb 3.11
2 Er 0.0000 0.0000 0.0000 x3  6 Sb 3.09
3 Er 0.0000 0.0000 0.5000 x3  6 Sb 3.09
4 Er 0.0000 0.5000 0.5000 x9  6 Sb 3.08
5 Sb 0.0000 0.0000 0.2488 x6  3 Er 3.08, 3 Tb 3.11
6 Sb 0.0015 0.5008 0.7508 x18  4 Er 3.08-3.09, 2 Tb 3.11


The following is a DFT calculation (PBE-GGA) of a geometry-optimized Sm2Al5Ir3 structure.

Results
E_tot: -0.2303 hartree per atom

Cell: 4.3001 25.1593 6.8225 Å, 90.00 90.00 90.00°
Last column: nearest neighbours and their distance in Å.
Space group Cmc2_1 (No. 36)
One atom of each set of equivalent atoms:
1 Sm 0.0000 0.0218 0.0000 x4  3 Ir 2.78-2.99
2 Sm 0.0000 0.3243 0.0605 x4  4 Ir 3.02-3.24, 9 Al 3.06-3.21
3 Al 0.0000 0.0996 0.3730 x4  3 Ir 2.56-2.59
4 Al 0.0000 0.2069 0.8774 x4  4 Ir 2.60-2.63, 1 Al 2.69
5 Al 0.0000 0.2127 0.2709 x4  3 Ir 2.56, 1 Al 2.69
6 Al 0.0000 0.3717 0.5289 x4  2 Ir 2.53-2.65
7 Al 0.0000 0.4441 0.1695 x4  4 Ir 2.60-2.77
8 Ir 0.0000 0.1094 0.7514 x4  6 Al 2.59-2.90, 1 Sm 2.78
9 Ir 0.0000 0.2721 0.5761 x4  7 Al 2.53-2.63
10 Ir 0.0000 0.4504 0.7865 x4  5 Al 2.56-2.77


The following is a DFT calculation (PBE-GGA) of a geometry-optimized SrGe3Pd3 structure.

Results
Energy above the most stable polymorph in this dataset: 28 meV/atom

Cell: 8.9730 8.9730 4.5300 Å, 90.00 90.00 120.00°
Last column: nearest neighbours and their distance in Å.
Space group P6_3/m (No. 176)
One atom of each set of equivalent atoms:
1 Sr 0.3333 0.6667 0.2500 x2  9 Pd 3.15-3.26, 3 Ge 3.45
2 Ge 0.0558 0.7135 0.7500 x6  4 Pd 2.54-2.58
3 Pd 0.0549 0.4257 0.7500 x6  4 Ge 2.54-2.58


The following is a DFT calculation (PBE-GGA) of a geometry-optimized DyRe4Si4 structure.

Results
E_form (uncorrected): -0.25 eV/atom

Cell: 8.0629 8.0629 4.7133 Å, 90.00 90.00 90.00°
Last column: nearest neighbours and their distance in Å.
Space group P4_2/n (No. 86, origin choice 2)
One atom of each set of equivalent atoms:
1 Dy 0.2500 0.2500 0.2500 x2  4 Re 3.18, 8 Si 3.19-3.39
2 Re 0.1214 0.8707 0.6570 x8  5 Si 2.39-2.55
3 Si 0.0558 0.9087 0.1622 x8  1 Si 2.31, 5 Re 2.39-2.55


The following is a DFT calculation (PBE-GGA) of a geometry-optimized Co2WCl structure.

Results
Energy above the most stable polymorph in this dataset: 47 meV/atom
E_form (uncorrected): 0.33 eV/atom

Cell: 5.2409 3.0893 7.7646 Å, 90.00 96.97 90.00°
Last column: nearest neighbours and their distance in Å.
Space group C2/m (No. 12)
One atom of each set of equivalent atoms:
1 Co 0.1189 0.0000 0.2825 x4  1 Cl 2.21, 3 W 2.43-2.45
2 W 0.0000 0.5000 0.5000 x2  6 Co 2.43-2.45
3 Cl 0.0000 0.0000 0.0000 x2  2 Co 2.21


The following is a DFT calculation (PBE-GGA) of a geometry-optimized CeGaGe2Rh2 structure.

Results
E_tot: -0.2128 hartree per atom

Cell: 4.5964 4.5964 5.6033 Å, 90.00 90.00 90.00°
Last column: nearest neighbours and their distance in Å.
Space group P4/mmm (No. 123)
One atom of each set of equivalent atoms:
1 Ce 0.0000 0.0000 0.0000 x1  2 Ga 2.80
2 Ga 0.0000 0.0000 0.5000 x1  4 Rh 2.30
3 Ge 0.5000 0.5000 0.2392 x2  2 Ge 2.68-2.92, 4 Rh 2.72
4 Rh 0.0000 0.5000 0.5000 x2  2 Ga 2.30


The following is a DFT calculation (PBE-GGA) of a geometry-optimized PaFe4Ge2 structure.

Results
E_tot: -0.2799 hartree per atom

Cell: 3.6067 3.6067 15.8441 Å, 90.00 90.00 90.00°
Last column: nearest neighbours and their distance in Å.
Space group I4/mmm (No. 139)
One atom of each set of equivalent atoms:
1 Pa 0.0000 0.0000 0.0000 x2  2 Fe 2.19
2 Fe 0.0000 0.0000 0.1382 x4  1 Pa 2.19
3 Fe 0.0000 0.5000 0.2500 x4  8 Fe 2.53-2.55, 4 Ge 2.59
4 Ge 0.0000 0.0000 0.3669 x4  8 Fe 2.55-2.59


The following is a DFT calculation (PBE-GGA) of a geometry-optimized Nd4DySb4 structure.

Results
E_form (uncorrected): -0.65 eV/atom

Cell: 8.0848 8.0848 10.0026 Å, 90.00 90.00 90.00°
Last column: nearest neighbours and their distance in Å.
Space group I-42m (No. 121)
One atom of each set of equivalent atoms:
1 Nd 0.0000 0.0000 0.1717 x4  4 Sb 3.06-3.26, 1 Dy 3.28
2 Nd 0.0000 0.5000 0.0000 x4  4 Sb 3.19
3 Dy 0.0000 0.0000 0.5000 x2  4 Sb 3.02, 2 Nd 3.28
4 Sb 0.2333 0.2333 0.3588 x8  1 Dy 3.02, 4 Nd 3.06-3.26


The following is a DFT calculation (PBE-GGA) of a geometry-optimized Ta4V4Fe structure.

Results
E_tot: -0.3694 hartree per atom

Cell: 4.7651 4.7651 12.5835 Å, 90.00 90.00 90.00°
Last column: nearest neighbours and their distance in Å.
Space group I-42m (No. 121)
One atom of each set of equivalent atoms:
1 Ta 0.2344 0.2344 0.1839 x8  4 V 2.67-2.91, 1 Fe 2.80, 4 Ta 2.91
2 V 0.2053 0.2053 0.4291 x8  1 Fe 2.18
3 Fe 0.0000 0.0000 0.0000 x2  4 V 2.18


The following is a DFT calculation (PBE-GGA) of a geometry-optimized RbInGe structure.

Results
E_tot: -0.1045 hartree per atom

Cell: 11.7476 5.0750 8.1639 Å, 90.00 131.89 90.00°
Last column: nearest neighbours and their distance in Å.
Space group C2/m (No. 12)
One atom of each set of equivalent atoms:
1 Rb 0.2465 0.0000 0.1606 x4  4 In 3.51-3.73, 6 Ge 3.55-3.86, 2 Rb 3.69
2 In 0.0938 0.5000 0.2629 x4  3 Ge 2.89-2.96
3 Ge 0.0762 0.0000 0.4314 x4  1 Ge 2.67, 3 In 2.89-2.96


The following is a DFT calculation (PBE-GGA) of a geometry-optimized Ho2TlPb structure.

Results
E_tot: -0.1537 hartree per atom

Cell: 5.0303 5.0303 4.3369 Å, 90.00 90.00 90.00°
Last column: nearest neighbours and their distance in Å.
Space group P4/mmm (No. 123)
One atom of each set of equivalent atoms:
1 Ho 0.0000 0.5000 0.0000 x2  4 Tl 3.32, 4 Pb 3.32, 4 Ho 3.56
2 Tl 0.0000 0.0000 0.5000 x1  8 Ho 3.32, 4 Pb 3.56
3 Pb 0.5000 0.5000 0.5000 x1  8 Ho 3.32, 4 Tl 3.56


The following is a DFT calculation (PBE-GGA) of a geometry-optimized SrCaNi2H8 structure.

Results
E_tot: -0.1318 hartree per atom

Cell: 4.1515 4.1515 8.8989 Å, 90.00 90.00 120.00°
Last column: nearest neighbours and their distance in Å.
Space group P-3m1 (No. 164)
One atom of each set of equivalent atoms:
1 Sr 0.0000 0.0000 0.0000 x1  6 H 2.51
2 Ca 0.0000 0.0000 0.5000 x1  12 H 2.43
3 Ni 0.3333 0.6667 0.7342 x2  4 H 1.52-1.62
4 H 0.0198 0.5099 0.3589 x6  1 Ni 1.52
5 H 0.3333 0.6667 0.9158 x2  1 Ni 1.62


The following is a DFT calculation (PBE-GGA) of a geometry-optimized Er12ZnRh6 structure.

Results
E_tot: -0.2136 hartree per atom

Cell: 12.6471 12.6471 10.8915 Å, 90.00 90.00 120.00°
Last column: nearest neighbours and their distance in Å.
Space group R-3 (No. 148, hexagonal axes)
One atom of each set of equivalent atoms:
1 Er 0.0318 0.2116 0.3855 x18  4 Rh 2.77-2.93
2 Er 0.0396 0.2179 0.8894 x18  2 Rh 2.70-2.73, 1 Zn 2.81
3 Zn 0.0000 0.0000 0.0000 x3  6 Er 2.81
4 Rh 0.0462 0.2610 0.6458 x18  6 Er 2.70-2.93


The following is a DFT calculation (PBE-GGA) of a geometry-optimized Dy2HoTe structure.

Results
Energy above the most stable polymorph in this dataset: 118 meV/atom
E_form (uncorrected): -0.53 eV/atom

Cell: 3.8721 3.8721 29.1876 Å, 90.00 90.00 120.00°
Last column: nearest neighbours and their distance in Å.
Space group R3m (No. 160, hexagonal axes)
One atom of each set of equivalent atoms:
1 Dy 0.0000 0.0000 0.0000 x3  3 Te 3.08
2 Dy 0.0000 0.0000 0.1880 x3  3 Te 3.08
3 Ho 0.0000 0.0000 0.4270 x3  6 Dy 3.53-3.55, 6 Ho 3.87
4 Te 0.0000 0.0000 0.5939 x3  6 Dy 3.08


The following is a DFT calculation (PBE-GGA) of a geometry-optimized TaAlS2Cl structure.

Results
Energy above the most stable polymorph in this dataset: 0 meV/atom
E_form (uncorrected): -0.40 eV/atom

Cell: 4.8299 4.8299 4.8781 Å, 90.00 90.00 90.00°
Last column: nearest neighbours and their distance in Å.
Space group P4/mmm (No. 123)
One atom of each set of equivalent atoms:
1 Ta 0.0000 0.0000 0.0000 x1  4 S 2.41, 2 Cl 2.44
2 Al 0.5000 0.5000 0.5000 x1  4 Cl 3.42, 8 S 3.43
3 S 0.0000 0.5000 0.0000 x2  2 Ta 2.41
4 Cl 0.0000 0.0000 0.5000 x1  2 Ta 2.44


The following is a DFT calculation (PBE-GGA) of a geometry-optimized CsLaP3 structure.

Results
Energy above the most stable polymorph in this dataset: 823 meV/atom

Cell: 5.2836 5.2836 5.2836 Å, 90.00 90.00 90.00°
Last column: nearest neighbours and their distance in Å.
Space group Pm-3m (No. 221)
One atom of each set of equivalent atoms:
1 Cs 0.0000 0.0000 0.0000 x1  6 P 2.64
2 La 0.5000 0.5000 0.5000 x1  12 P 3.74
3 P 0.0000 0.0000 0.5000 x3  2 Cs 2.64


The following is a DFT calculation (PBE-GGA) of a geometry-optimized TbPrHo5Sc2 structure.

Results
E_tot: -0.1773 hartree per atom

Cell: 5.5768 21.4383 9.3335 Å, 90.00 90.00 90.00°
Last column: nearest neighbours and their distance in Å.
Space group Cmc2_1 (No. 36)
One atom of each set of equivalent atoms:
1 Tb 0.0000 0.1896 0.0000 x4  2 Sc 3.21-3.28, 5 Ho 3.36-3.42, 2 Pr 3.55
2 Pr 0.0000 0.4027 0.3959 x4  2 Ho 3.05-3.16
3 Ho 0.0000 0.0068 0.0046 x4  1 Sc 3.18, 2 Ho 3.53, 2 Pr 3.54
4 Ho 0.0000 0.2649 0.3155 x4  1 Pr 3.05, 1 Sc 3.25, 1 Tb 3.36, 2 Ho 3.36
5 Ho 0.0000 0.3077 0.7024 x4  5 Ho 3.36-3.73, 3 Tb 3.37-3.76, 3 Sc 3.40-3.50, 1 Pr 3.51
6 Ho 0.0000 0.3905 0.0229 x4  4 Sc 3.21-3.46, 3 Ho 3.21-3.58, 1 Pr 3.49
7 Ho 0.0000 0.4687 0.7296 x4  2 Pr 3.16-3.42, 4 Ho 3.21-3.53, 2 Sc 3.37
8 Sc 0.0000 0.1132 0.3044 x4  8 Ho 3.18-3.46, 1 Tb 3.28, 1 Sc 3.50
9 Sc 0.0000 0.1448 0.6720 x4  3 Ho 3.21-3.50, 1 Tb 3.21, 1 Sc 3.50


The following is a DFT calculation (PBE-GGA) of a geometry-optimized Fe2NiCl structure.

Results
Energy above the most stable polymorph in this dataset: 474 meV/atom
E_form (uncorrected): 0.60 eV/atom

Cell: 5.9242 5.9242 5.9242 Å, 90.00 90.00 90.00°
Last column: nearest neighbours and their distance in Å.
Space group Fm-3m (No. 225)
One atom of each set of equivalent atoms:
1 Fe 0.2500 0.2500 0.2500 x8  4 Cl 2.57, 4 Ni 2.57
2 Ni 0.0000 0.0000 0.0000 x4  8 Fe 2.57
3 Cl 0.0000 0.0000 0.5000 x4  8 Fe 2.57


The following is a DFT calculation (PBE-GGA) of a geometry-optimized NaSr12Ag5 structure.

Results
E_tot: -0.0795 hartree per atom

Cell: 10.7796 11.0988 12.1340 Å, 90.00 90.00 90.00°
Last column: nearest neighbours and their distance in Å.
Space group Immm (No. 71)
One atom of each set of equivalent atoms:
1 Na 0.0000 0.0000 0.0000 x2  12 Sr 3.94-4.27
2 Sr 0.0000 0.1935 0.2739 x8  2 Ag 3.30-3.48
3 Sr 0.1921 0.5000 0.3252 x8  3 Ag 3.24-3.35
4 Sr 0.2184 0.3210 0.0000 x8  4 Ag 3.41-3.64
5 Ag 0.0000 0.0000 0.5000 x2  8 Sr 3.48-3.63
6 Ag 0.0000 0.3596 0.5000 x4  1 Ag 3.12, 6 Sr 3.30-3.35
7 Ag 0.0000 0.5000 0.1196 x4  1 Ag 2.90, 2 Sr 3.24


Calculated magnetization (μB/atom), listed in the same order as above: 0.192; 0.000; 0.000; 0.000; 0.000; 0.000; 0.193; 0.569; 0.000; 0.000; 0.000; 0.000; 0.000; 0.000; 0.000; 0.000; 0.000; 0.000; 1.537; 0.000